{"formula": "Hf2MgF11", "functional": "PBE", "state": "relaxed", "lattice_angstrom": [[7.0934, 0.0000, 3.6973], [3.2729, 7.0850, 2.3740], [0.2607, -0.0792, 8.1530]], "species": ["F", "F", "F", "F", "F", "F", "F", "F", "F", "F", "F", "F", "F", "F", "F", "F", "F", "F", "F", "F", "F", "F", "Mg", "Mg", "Hf", "Hf", "Hf", "Hf"], "fractional_positions": [[0.8600, 0.4543, 0.2482], [0.0523, 0.2294, 0.5110], [0.2927, 0.2706, 0.9890], [0.1400, 0.5457, 0.7518], [0.7927, 0.4890, 0.7706], [0.4477, 0.9890, 0.2706], [0.7073, 0.7294, 0.0110], [0.1479, 0.2170, 0.7830], [0.5000, 0.5000, 0.5000], [0.9375, 0.9543, 0.7482], [0.5625, 0.7518, 0.5457], [0.3600, 0.7482, 0.9543], [0.6400, 0.2518, 0.0457], [0.9477, 0.7706, 0.4890], [0.0625, 0.0457, 0.2518], [0.2073, 0.5110, 0.2294], [0.5523, 0.0110, 0.7294], [0.0000, 0.0000, 0.0000], [0.6479, 0.2830, 0.7170], [0.4375, 0.2482, 0.4543], [0.3521, 0.7170, 0.2830], [0.8521, 0.7830, 0.2170], [0.7500, 0.7500, 0.7500], [0.2500, 0.2500, 0.2500], [0.6093, 0.7020, 0.2980], [0.1093, 0.7980, 0.2020], [0.3907, 0.2980, 0.7020], [0.8907, 0.2020, 0.7980]], "spacegroup": "Ibam", "raw_formation_energy_ev_per_atom": -3.401, "e_tot_ev_per_atom": -6.41}